A geometry-optimized AcGaGePb structure, computed with PBE.

Computed properties:
Space-group type: F-43m (216)
DOS at the Fermi energy (states/eV/cell): 3.0
Calculated formation energy (eV per atom): -0.22

a = 5.3918 Å, b = 5.3918 Å, c = 5.3918 Å
α = 60.00°, β = 60.00°, γ = 60.00°
Positions (direct):
Ac: 0.0000 0.0000 0.0000
Ga: 0.7500 0.7500 0.7500
Ge: 0.2500 0.2500 0.2500
Pb: 0.5000 0.5000 0.5000

---

A geometry-optimized SmGaGeRh3 structure, computed with PBE.

Computed properties:
Space-group type: Cmcm (63)
DOS at the Fermi energy (states/eV/cell): 6.4
Calculated formation energy (eV per atom): -0.51

a = 8.2949 Å, b = 8.2949 Å, c = 5.6086 Å
α = 90.00°, β = 90.00°, γ = 140.52°
Positions (direct):
Sm: 0.2051 0.7949 0.7500
Sm: 0.7949 0.2051 0.2500
Ga: 0.0996 0.9004 0.2500
Ga: 0.9004 0.0996 0.7500
Ge: 0.4110 0.5890 0.2500
Ge: 0.5890 0.4110 0.7500
Rh: 0.2433 0.2433 0.0000
Rh: 0.2433 0.2433 0.5000
Rh: 0.2562 0.7438 0.2500
Rh: 0.7438 0.2562 0.7500
Rh: 0.7567 0.7567 0.0000
Rh: 0.7567 0.7567 0.5000

---

A geometry-optimized Nd4SmDyEr2 structure, computed with PBE.

Computed properties:
Space-group type: P2/m (10)
DOS at the Fermi energy (states/eV/cell): 10.5
Calculated formation energy (eV per atom): 0.02

a = 6.2616 Å, b = 3.6266 Å, c = 11.9020 Å
α = 90.00°, β = 100.20°, γ = 90.00°
Positions (direct):
Nd: 0.2485 0.0000 0.2476
Nd: 0.2499 0.5000 0.7502
Nd: 0.7501 0.5000 0.2498
Nd: 0.7515 0.0000 0.7524
Sm: 0.5000 0.5000 0.5000
Dy: 0.5000 0.0000 0.0000
Er: 0.0000 0.0000 0.5000
Er: 0.0000 0.5000 0.0000

---

A geometry-optimized NaLiCdPb2 structure, computed with PBE.

Computed properties:
Space-group type: P4/mmm (123)
DOS at the Fermi energy (states/eV/cell): 1.6
Calculated formation energy (eV per atom): 0.02

a = 5.1994 Å, b = 5.1994 Å, c = 5.1546 Å
α = 90.00°, β = 90.00°, γ = 90.00°
Positions (direct):
Na: 0.0000 0.0000 0.0000
Li: 0.5000 0.5000 0.5000
Cd: 0.5000 0.5000 0.0000
Pb: 0.0000 0.5000 0.5000
Pb: 0.5000 0.0000 0.5000

---

A geometry-optimized NdGdSn2 structure, computed with PBE.

Computed properties:
Space-group type: P4/mmm (123)
DOS at the Fermi energy (states/eV/cell): 3.4
Calculated formation energy (eV per atom): -0.67

a = 4.9655 Å, b = 4.9655 Å, c = 4.5208 Å
α = 90.00°, β = 90.00°, γ = 90.00°
Positions (direct):
Nd: 0.0000 0.0000 0.0000
Gd: 0.5000 0.5000 0.0000
Sn: 0.0000 0.5000 0.5000
Sn: 0.5000 0.0000 0.5000

---

A geometry-optimized Sr5Br structure, computed with PBE.

Computed properties:
Space-group type: P6/mmm (191)
DOS at the Fermi energy (states/eV/cell): 7.1
Energy relative to the elements, uncorrected (eV per atom): 0.06

a = 7.8894 Å, b = 7.8894 Å, c = 7.0556 Å
α = 90.00°, β = 90.00°, γ = 120.00°
Positions (direct):
Sr: 0.0000 0.5000 0.0000
Sr: 0.3333 0.6667 0.5000
Sr: 0.5000 0.0000 0.0000
Sr: 0.5000 0.5000 0.0000
Sr: 0.6667 0.3333 0.5000
Br: 0.0000 0.0000 0.5000

---

A geometry-optimized LaTh2S4 structure, computed with PBE.

Computed properties:
Space-group type: I-42d (122)
DOS at the Fermi energy (states/eV/cell): 12.5
Energy relative to the elements, uncorrected (eV per atom): -1.93

a = 7.4254 Å, b = 7.4254 Å, c = 7.4254 Å
α = 109.64°, β = 109.64°, γ = 109.14°
Positions (direct):
La: 0.0000 0.0000 0.0000
La: 0.7500 0.2500 0.5000
Th: 0.2523 0.1250 0.6273
Th: 0.3750 0.7477 0.8727
Th: 0.4977 0.6250 0.3727
Th: 0.8750 0.5023 0.1273
S: 0.1295 0.3803 0.9075
S: 0.1303 0.3795 0.4075
S: 0.2772 0.8697 0.2492
S: 0.4728 0.2220 0.0925
S: 0.6197 0.5272 0.7492
S: 0.6205 0.0280 0.7508
S: 0.7780 0.8705 0.2508
S: 0.9720 0.7228 0.5925

---

A geometry-optimized YTh2Sc7 structure, computed with PBE.

Computed properties:
Space-group type: Cmmm (65)
DOS at the Fermi energy (states/eV/cell): 17.9
Calculated formation energy (eV per atom): 0.21

a = 13.9053 Å, b = 13.9053 Å, c = 3.2749 Å
α = 90.00°, β = 90.00°, γ = 154.45°
Positions (direct):
Y: 0.0000 0.0000 0.0000
Th: 0.2000 0.8000 0.5000
Th: 0.8000 0.2000 0.5000
Sc: 0.1521 0.3527 0.5000
Sc: 0.3088 0.6912 0.0000
Sc: 0.3527 0.1521 0.5000
Sc: 0.5000 0.5000 0.5000
Sc: 0.6473 0.8479 0.5000
Sc: 0.6912 0.3088 0.0000
Sc: 0.8479 0.6473 0.5000

---

A geometry-optimized LaOsAu2 structure, computed with PBE.

Computed properties:
Space-group type: Pmmm (47)
DOS at the Fermi energy (states/eV/cell): 3.3
Calculated formation energy (eV per atom): 0.15

a = 3.1850 Å, b = 4.2287 Å, c = 6.0293 Å
α = 90.00°, β = 90.00°, γ = 90.00°
Positions (direct):
La: 0.0000 0.0000 0.0000
Os: 0.0000 0.0000 0.5000
Au: 0.5000 0.5000 0.2787
Au: 0.5000 0.5000 0.7213

---

A geometry-optimized Mn5P structure, computed with PBE.

Computed properties:
Space-group type: Cm (8)
DOS at the Fermi energy (states/eV/cell): 5.2
Calculated formation energy (eV per atom): -0.11

a = 4.9881 Å, b = 4.9881 Å, c = 5.2209 Å
α = 104.29°, β = 104.29°, γ = 31.35°
Positions (direct):
Mn: 0.0000 0.0000 0.0000
Mn: 0.0347 0.0347 0.5699
Mn: 0.3623 0.3623 0.2544
Mn: 0.6568 0.6568 0.3389
Mn: 0.7146 0.7146 0.8911
P: 0.3368 0.3368 0.6767

---

A geometry-optimized Pm4AuSe2Br structure, computed with PBE.

Computed properties:
Space-group type: P2/m (10)
DOS at the Fermi energy (states/eV/cell): 3.3
Energy relative to the elements, uncorrected (eV per atom): -1.41

a = 7.4098 Å, b = 4.1062 Å, c = 7.4765 Å
α = 90.00°, β = 107.81°, γ = 90.00°
Positions (direct):
Pm: 0.2323 0.0000 0.2324
Pm: 0.2416 0.5000 0.7494
Pm: 0.7584 0.5000 0.2506
Pm: 0.7677 0.0000 0.7676
Au: 0.0000 0.0000 0.5000
Se: 0.0000 0.5000 0.0000
Se: 0.5000 0.0000 0.0000
Br: 0.5000 0.5000 0.5000

---

A geometry-optimized SiAg2BPd6 structure, computed with PBE.

Computed properties:
Space-group type: P-1 (2)
DOS at the Fermi energy (states/eV/cell): 3.2
Energy relative to the elements, uncorrected (eV per atom): -0.23

a = 5.4900 Å, b = 5.7175 Å, c = 5.7332 Å
α = 73.74°, β = 74.95°, γ = 66.17°
Positions (direct):
Si: 0.0000 0.0000 0.0000
Ag: 0.2991 0.1678 0.1835
Ag: 0.7009 0.8322 0.8165
B: 0.5000 0.5000 0.5000
Pd: 0.1981 0.3310 0.6691
Pd: 0.2277 0.8355 0.6346
Pd: 0.3401 0.6413 0.1765
Pd: 0.6599 0.3587 0.8235
Pd: 0.7723 0.1645 0.3654
Pd: 0.8019 0.6690 0.3309

---

A geometry-optimized NaZrO2F structure, computed with PBE.

Computed properties:
Space-group type: P4/mmm (123)
DOS at the Fermi energy (states/eV/cell): 0.0
Energy relative to the elements, uncorrected (eV per atom): -2.86

a = 4.1426 Å, b = 4.1426 Å, c = 4.2824 Å
α = 90.00°, β = 90.00°, γ = 90.00°
Positions (direct):
Na: 0.0000 0.0000 0.0000
Zr: 0.5000 0.5000 0.5000
O: 0.0000 0.5000 0.5000
O: 0.5000 0.0000 0.5000
F: 0.5000 0.5000 0.0000

---

A geometry-optimized Pm3Tm5Bi8 structure, computed with PBE.

Computed properties:
Space-group type: R-3m (166)
DOS at the Fermi energy (states/eV/cell): 3.1
Calculated formation energy (eV per atom): -0.84

a = 8.9750 Å, b = 8.9750 Å, c = 8.9750 Å
α = 60.06°, β = 60.06°, γ = 60.06°
Positions (direct):
Pm: 0.0000 0.5000 0.5000
Pm: 0.5000 0.0000 0.5000
Pm: 0.5000 0.5000 0.0000
Tm: 0.0000 0.0000 0.0000
Tm: 0.0000 0.0000 0.5000
Tm: 0.0000 0.5000 0.0000
Tm: 0.5000 0.0000 0.0000
Tm: 0.5000 0.5000 0.5000
Bi: 0.2431 0.7500 0.7500
Bi: 0.2466 0.2466 0.2466
Bi: 0.2500 0.2500 0.7569
Bi: 0.2500 0.7569 0.2500
Bi: 0.7500 0.2431 0.7500
Bi: 0.7500 0.7500 0.2431
Bi: 0.7534 0.7534 0.7534
Bi: 0.7569 0.2500 0.2500

---

A geometry-optimized CaCoW2 structure, computed with PBE.

Computed properties:
Space-group type: P4/mmm (123)
DOS at the Fermi energy (states/eV/cell): 5.5
Calculated formation energy (eV per atom): 1.24

a = 4.8384 Å, b = 4.8384 Å, c = 2.8014 Å
α = 90.00°, β = 90.00°, γ = 90.00°
Positions (direct):
Ca: 0.0000 0.0000 0.0000
Co: 0.5000 0.5000 0.0000
W: 0.0000 0.5000 0.5000
W: 0.5000 0.0000 0.5000

---

A geometry-optimized YMg2P structure, computed with PBE.

Computed properties:
Space-group type: I-4m2 (119)
DOS at the Fermi energy (states/eV/cell): 4.3
Calculated formation energy (eV per atom): -0.28

a = 5.5184 Å, b = 5.5184 Å, c = 5.5184 Å
α = 134.09°, β = 134.09°, γ = 66.95°
Positions (direct):
Y: 0.0000 0.0000 0.0000
Mg: 0.2500 0.7500 0.5000
Mg: 0.5000 0.5000 0.0000
P: 0.7500 0.2500 0.5000

---

A geometry-optimized CeZrAs2N structure, computed with PBE.

Computed properties:
Space-group type: P4/nmm (129)
DOS at the Fermi energy (states/eV/cell): 7.2
Energy relative to the elements, uncorrected (eV per atom): -0.96

a = 3.8640 Å, b = 3.8640 Å, c = 14.1847 Å
α = 90.00°, β = 90.00°, γ = 90.00°
Positions (direct):
Ce: 0.2500 0.2500 0.0827
Ce: 0.7500 0.7500 0.9173
Zr: 0.2500 0.2500 0.5918
Zr: 0.7500 0.7500 0.4082
As: 0.2500 0.2500 0.3929
As: 0.2500 0.2500 0.7822
As: 0.7500 0.7500 0.2178
As: 0.7500 0.7500 0.6071
N: 0.2500 0.7500 0.0000
N: 0.7500 0.2500 0.0000

---

A geometry-optimized Pu4Hg2C structure, computed with PBE.

Computed properties:
Space-group type: I4/mmm (139)
DOS at the Fermi energy (states/eV/cell): 31.4
Calculated formation energy (eV per atom): 0.07

a = 8.3955 Å, b = 8.3955 Å, c = 8.3955 Å
α = 146.63°, β = 146.63°, γ = 47.91°
Positions (direct):
Pu: 0.0000 0.5000 0.5000
Pu: 0.1607 0.1607 0.0000
Pu: 0.5000 0.0000 0.5000
Pu: 0.8393 0.8393 0.0000
Hg: 0.3618 0.3618 0.0000
Hg: 0.6382 0.6382 0.0000
C: 0.0000 0.0000 0.0000

---

A geometry-optimized YHoSeO2 structure, computed with PBE.

Computed properties:
Space-group type: P2_1/m (11)
DOS at the Fermi energy (states/eV/cell): 0.0
Energy relative to the elements, uncorrected (eV per atom): -3.11

a = 6.4590 Å, b = 4.0111 Å, c = 7.5821 Å
α = 90.00°, β = 106.99°, γ = 90.00°
Positions (direct):
Y: 0.1815 0.2500 0.4245
Y: 0.8185 0.7500 0.5755
Ho: 0.1759 0.2500 0.9159
Ho: 0.8241 0.7500 0.0841
Se: 0.4545 0.7500 0.7398
Se: 0.5455 0.2500 0.2602
O: 0.0123 0.7500 0.8817
O: 0.0208 0.7500 0.3761
O: 0.9792 0.2500 0.6239
O: 0.9877 0.2500 0.1183

---

A geometry-optimized BaSnSe2Br structure, computed with PBE.

Computed properties:
Space-group type: P4/mmm (123)
DOS at the Fermi energy (states/eV/cell): 1.9
Energy relative to the elements, uncorrected (eV per atom): -1.03

a = 5.4359 Å, b = 5.4359 Å, c = 5.5527 Å
α = 90.00°, β = 90.00°, γ = 90.00°
Positions (direct):
Ba: 0.0000 0.0000 0.0000
Sn: 0.5000 0.5000 0.5000
Se: 0.0000 0.5000 0.5000
Se: 0.5000 0.0000 0.5000
Br: 0.5000 0.5000 0.0000